1.
Entry from Alexandria: GaPb3Au2 after structural relaxation (PBE).

- ΔE_f: -0.089 eV/atom
- Density of states at the Fermi level: 4.555 states/eV/cell
- Magnetic moment: 0.0 μB/cell
- Space-group type: P-1, No. 2

abc: 3.644 8.558 11.137
angles: 68.31 81.12 78.89
Sites, in units of the cell vectors:
Ga1 0.063 0.013 0.360
Ga2 0.937 0.987 0.640
Pb1 0.164 0.208 0.963
Pb2 0.272 0.341 0.632
Pb3 0.449 0.400 0.199
Pb4 0.551 0.600 0.801
Pb5 0.728 0.659 0.368
Pb6 0.836 0.792 0.037
Au1 0.105 0.728 0.564
Au2 0.367 0.960 0.815
Au3 0.633 0.040 0.185
Au4 0.895 0.272 0.436

***

2.
Entry from Alexandria: Ga2PbAu3 after structural relaxation (PBE).

- ΔE_f: -0.133 eV/atom
- Density of states at the Fermi level: 4.878 states/eV/cell
- Relative energy among the computed polymorphs: 23 meV/atom
- Magnetic moment: 0.0 μB/cell
- Space-group type: Cmcm, No. 63

abc: 6.811 6.811 5.645
angles: 90.00 90.00 75.65
Sites, in units of the cell vectors:
Ga1 0.213 0.213 0.000
Ga2 0.213 0.213 0.500
Ga3 0.787 0.787 0.000
Ga4 0.787 0.787 0.500
Pb1 0.355 0.645 0.750
Pb2 0.645 0.355 0.250
Au1 0.033 0.967 0.250
Au2 0.119 0.539 0.250
Au3 0.461 0.881 0.250
Au4 0.539 0.119 0.750
Au5 0.881 0.461 0.750
Au6 0.967 0.033 0.750